LaVB | PBE | relaxed

abc: 4.815 6.504 6.861
angles: 90.00 90.00 90.00
Element x y z (fractional)
B  0.500  0.250  0.500
B  0.000  0.250  0.500
B  0.500  0.750  0.500
B  0.000  0.750  0.500
La  0.249  0.750  0.152
La  0.251  0.250  0.152
La  0.751  0.250  0.848
La  0.749  0.750  0.848
V  0.250  0.000  0.601
V  0.250  0.500  0.601
V  0.750  0.000  0.399
V  0.750  0.500  0.399

- D(E_F): 2.47 states/eV/f.u.
- Calculated total energy: -6.957 eV per atom
- Space-group type: No. 57
- Magnetic moment: 0.00 μB per formula unit
- Calculated density: 6.2 Mg/m³